(1)
# PBE In2SbSe, optimized geometry
# Mass density (g/cm3): 6.097
# D(E_F) (states/eV per atom): 0.347
# Uncorrected formation energy (eV per formula unit): -0.3
# Energy relative to the lowest polymorph listed for this composition (eV/atom): 0.179
# E_tot (Ry/atom): -0.245
data_In2SbSe
_chemical_formula_sum 'In4 Sb2 Se2'
_cell_length_a 11.055
_cell_length_b 3.619
_cell_length_c 7.818
_cell_angle_alpha 90.00
_cell_angle_beta 131.47
_cell_angle_gamma 90.00
_symmetry_space_group_name_H-M 'C 1 m 1'
_symmetry_Int_Tables_number 8
_symmetry_space_group_name_Hall 'C -2y'
loop_
_atom_site_label
_atom_site_fract_x
_atom_site_fract_y
_atom_site_fract_z
In1 0.000 0.000 0.000
In2 0.191 0.000 0.845
Sb1 0.470 0.000 0.409
Se1 0.189 0.500 0.375

***

(2)
# PBE PmBRuO5, optimized geometry
# Mass density (g/cm3): 6.366
# D(E_F) (states/eV per atom): 0.454
# Uncorrected formation energy (eV per formula unit): -17.2
# E_tot (Ry/atom): -0.576
data_PmBRuO5
_chemical_formula_sum 'Pm4 B4 Ru4 O20'
_cell_length_a 6.371
_cell_length_b 8.657
_cell_length_c 6.899
_cell_angle_alpha 90.00
_cell_angle_beta 112.52
_cell_angle_gamma 90.00
_symmetry_space_group_name_H-M 'C 1 2/c 1'
_symmetry_Int_Tables_number 15
_symmetry_space_group_name_Hall '-C 2yc'
loop_
_atom_site_label
_atom_site_fract_x
_atom_site_fract_y
_atom_site_fract_z
Pm1 0.000 0.150 0.250
B1 0.000 0.188 0.750
Ru1 0.000 0.500 0.000
O1 0.000 0.426 0.250
O2 0.110 0.281 0.633
O3 0.164 0.081 0.915

***

(3)
# PBE GaAg2RuCl, optimized geometry
# Mass density (g/cm3): 5.470
# D(E_F) (states/eV per atom): 0.611
# Uncorrected formation energy (eV per formula unit): 3.7
# E_tot (Ry/atom): -0.237
data_GaAg2RuCl
_chemical_formula_sum 'Ga1 Ag2 Ru1 Cl1'
_cell_length_a 5.199
_cell_length_b 5.199
_cell_length_c 4.740
_cell_angle_alpha 90.00
_cell_angle_beta 90.00
_cell_angle_gamma 90.00
_symmetry_space_group_name_H-M 'P 4/m m m'
_symmetry_Int_Tables_number 123
_symmetry_space_group_name_Hall '-P 4 2'
loop_
_atom_site_label
_atom_site_fract_x
_atom_site_fract_y
_atom_site_fract_z
Ga1 0.000 0.000 0.000
Ag1 0.000 0.500 0.500
Ru1 0.000 0.000 0.500
Cl1 0.500 0.500 0.000

***

(4)
# PBE PrHo6Er, optimized geometry
# Mass density (g/cm3): 8.478
# D(E_F) (states/eV per atom): 1.562
# Energy relative to the lowest polymorph listed for this composition (eV/atom): 0.052
# E_tot (Ry/atom): -0.323
# DFT formation energy (eV/atom): 0.203
data_PrHo6Er
_chemical_formula_sum 'Pr1 Ho6 Er1'
_cell_length_a 6.525
_cell_length_b 6.529
_cell_length_c 7.453
_cell_angle_alpha 114.68
_cell_angle_beta 115.37
_cell_angle_gamma 90.19
_symmetry_space_group_name_H-M 'P -1'
_symmetry_Int_Tables_number 2
_symmetry_space_group_name_Hall '-P 1'
loop_
_atom_site_label
_atom_site_fract_x
_atom_site_fract_y
_atom_site_fract_z
Pr1 0.000 0.000 0.000
Ho1 0.236 0.562 0.472
Ho2 0.253 0.501 0.999
Ho3 0.268 0.091 0.535
Er1 0.500 0.000 0.000

***

Q: Which total magnetization values were calculated for the entries above? A: 0.00; 0.00; 1.21; 0.00, in μB/f.u..